A plane-wave DFT calculation with PBE was carried out for a geometry-optimized CdHg2Pd8 structure.

a = 14.4869 Å, b = 4.1089 Å, c = 6.4106 Å
α = 90.00°, β = 106.00°, γ = 90.00°
With the nearest neighbours (Å) after each atom.
Space group C2/m (No. 12)
Unique sites:
Cd  0.0000  0.0000  0.0000  12 Pd 2.81-2.88
Hg  0.2245  0.5000  0.6473  10 Pd 2.81-2.94, 2 Hg 3.02
Pd  0.0418  0.5000  0.7239  9 Pd 2.79-2.88, 1 Hg 2.82, 2 Cd 2.88
Pd  0.0897  0.0000  0.4556  8 Pd 2.81-2.91, 1 Cd 2.85, 3 Hg 2.87-2.94
Pd  0.1366  0.5000  0.1790  7 Pd 2.82-2.91, 2 Cd 2.86, 3 Hg 2.88-2.92
Pd  0.1787  0.0000  0.9082  1 Cd 2.81, 3 Hg 2.81-2.84, 8 Pd 2.83-2.92

Properties
Formation energy from the elements (eV/atom): -0.17
Density of states at the Fermi level (states/eV per cell): 17.871
E_tot (eV/atom): -4.089
Density (Mg/m³): 12.358

A plane-wave DFT calculation with PBE was carried out for a geometry-optimized Cd2HgPd7 structure.

a = 7.2983 Å, b = 14.3080 Å, c = 4.1414 Å
α = 90.00°, β = 90.00°, γ = 90.00°
With the nearest neighbours (Å) after each atom.
Space group Cmmm (No. 65)
Unique sites:
Cd  0.0000  0.1968  0.0000  5 Pd 2.66-2.82
Hg  0.0000  0.5000  0.5000  10 Pd 2.68-2.85
Pd  0.0000  0.0000  0.0000  4 Pd 2.70, 2 Cd 2.82
Pd  0.0000  0.3130  0.5000  2 Cd 2.66, 1 Hg 2.68, 4 Pd 2.77
Pd  0.1853  0.4003  0.0000  1 Cd 2.68, 5 Pd 2.70-2.85, 2 Hg 2.85

Properties
Formation energy from the elements (eV/atom): 0.26
Density of states at the Fermi level (states/eV per cell): 20.320
E_tot (eV/atom): -3.588
Density (Mg/m³): 8.988

A plane-wave DFT calculation with PBE was carried out for a geometry-optimized Cd3HgPd6 structure.

a = 13.4831 Å, b = 5.5376 Å, c = 6.8917 Å
α = 90.00°, β = 120.69°, γ = 90.00°
With the nearest neighbours (Å) after each atom.
Space group C2/m (No. 12)
Unique sites:
Cd  0.0000  0.0000  0.0000  6 Pd 2.70-2.91
Cd  0.2503  0.0000  0.8118  7 Pd 2.71-2.89
Hg  0.0000  0.5000  0.5000  6 Pd 2.71-2.92
Pd  0.1341  0.2498  0.3831  5 Pd 2.69-2.81, 3 Cd 2.70-2.89, 1 Hg 2.71
Pd  0.2498  0.0000  0.2042  4 Cd 2.71-2.91, 4 Pd 2.80-2.81, 1 Hg 2.92

Properties
Formation energy from the elements (eV/atom): -0.01
Density of states at the Fermi level (states/eV per cell): 10.956
E_tot (eV/atom): -3.433
Density (Mg/m³): 8.829

Question: Which value of density of states at the Fermi level does entry 3 give?
Answer: 10.956 states/eV per cell

Question: What is the formation energy from the elements in the second record?
Answer: 0.26 eV/atom